A relaxed structure of LaIn6Ni3. Source: OQMD, functional PBE-GGA.

E above lowest polymorph	0.256	eV per atom
symmetry	No. 59

```
20
Lattice="3.822 0.000 0.000 0.000 8.465 0.000 0.000 0.000 14.149" Properties=species:S:1:pos:R:3 pbc="T T T"
La 0.956 2.116 0.739
La 2.867 6.349 13.411
In 0.956 0.461 12.050
In 0.956 0.640 9.104
In 0.956 2.116 6.069
In 0.956 3.593 9.104
In 0.956 3.771 12.050
In 0.956 6.349 10.523
In 2.867 2.116 3.626
In 2.867 4.694 2.099
In 2.867 4.872 5.045
In 2.867 6.349 8.080
In 2.867 7.826 5.045
In 2.867 8.004 2.099
Ni 0.956 5.001 6.820
Ni 0.956 6.349 1.323
Ni 0.956 7.697 6.820
Ni 2.867 0.768 7.329
Ni 2.867 2.116 12.827
Ni 2.867 3.464 7.329
```